1.
DFT (PBE) results for Be3Ni2Ru after structural relaxation.

Calculated values
* total energy: -5.71 eV per atom
* formation energy from the elements: -0.371 eV/atom

Cell lengths 2.680, 2.680, 8.039 Å; angles 90.00, 90.00, 90.00 degrees
Space group P4/mmm (No. 123)
Asymmetric unit:
Be 0.000 0.000 0.000
Be 0.000 0.000 0.317
Ni 0.500 0.500 0.158
Ru 0.500 0.500 0.500

2.
DFT (PBE) results for Be2NiRu2 after structural relaxation.

Calculated values
* total energy: -6.60 eV per atom
* formation energy from the elements: -0.246 eV/atom

Cell lengths 5.808, 5.808, 3.155 Å; angles 90.00, 90.00, 90.00 degrees
Space group P4/mbm (No. 127)
Asymmetric unit:
Be 0.126 0.374 0.000
Ni 0.000 0.000 0.000
Ru 0.176 0.676 0.500

3.
DFT (PBE) results for Sc2Be5NiRu2 after structural relaxation.

Calculated values
* total energy: -5.77 eV per atom
* formation energy from the elements: -0.205 eV/atom

Cell lengths 9.114, 9.114, 3.013 Å; angles 90.00, 90.00, 90.00 degrees
Space group P4/mbm (No. 127)
Asymmetric unit:
Sc 0.178 0.322 0.000
Be 0.000 0.500 0.500
Be 0.049 0.819 0.500
Ni 0.000 0.000 0.000
Ru 0.131 0.631 0.000

4.
DFT (PBE) results for Be2SiNiRu after structural relaxation.

Calculated values
* E_form (uncorrected): 0.976 eV/atom
* total energy: -4.61 eV per atom

Cell lengths 4.120, 4.120, 4.525 Å; angles 90.00, 90.00, 90.00 degrees
Space group P4/mmm (No. 123)
Asymmetric unit:
Be 0.000 0.500 0.000
Si 0.000 0.000 0.500
Ni 0.500 0.500 0.500
Ru 0.500 0.500 0.000

5.
DFT (PBE) results for BeNiSnRu after structural relaxation.

Calculated values
* total energy: -5.78 eV per atom
* formation energy from the elements: -0.081 eV/atom

Cell lengths 6.007, 6.007, 6.007 Å; angles 90.00, 90.00, 90.00 degrees
Space group F-43m (No. 216)
Asymmetric unit:
Be 0.000 0.000 0.000
Ni 0.250 0.250 0.250
Sn 0.000 0.000 0.500
Ru 0.250 0.250 0.750

6.
DFT (PBE) results for TaBe2NiRu after structural relaxation.

Calculated values
* total energy: -6.06 eV per atom
* formation energy from the elements: 0.813 eV/atom

Cell lengths 3.997, 3.997, 4.455 Å; angles 90.00, 90.00, 90.00 degrees
Space group P4/mmm (No. 123)
Asymmetric unit:
Ta 0.000 0.000 0.000
Be 0.000 0.500 0.500
Ni 0.500 0.500 0.000
Ru 0.500 0.500 0.500

7.
DFT (PBE) results for TiBeNiRu after structural relaxation.

Calculated values
* total energy: -7.13 eV per atom
* formation energy from the elements: -0.462 eV/atom

Cell lengths 5.801, 5.801, 5.801 Å; angles 90.00, 90.00, 90.00 degrees
Space group F-43m (No. 216)
Asymmetric unit:
Ti 0.000 0.000 0.000
Be 0.000 0.000 0.500
Ni 0.250 0.250 0.750
Ru 0.250 0.250 0.250

8.
DFT (PBE) results for BeVNiRu after structural relaxation.

Calculated values
* total energy: -7.26 eV per atom
* formation energy from the elements: -0.285 eV/atom

Cell lengths 5.715, 5.715, 5.715 Å; angles 90.00, 90.00, 90.00 degrees
Space group F-43m (No. 216)
Asymmetric unit:
Be 0.000 0.000 0.000
V 0.000 0.000 0.500
Ni 0.250 0.250 0.250
Ru 0.250 0.250 0.750

9.
DFT (PBE) results for BeNiS after structural relaxation.

Calculated values
* E_form (uncorrected): -0.308 eV/atom
* total energy: -4.85 eV per atom

Cell lengths 3.574, 3.989, 5.480 Å; angles 73.43, 81.92, 80.94 degrees
Space group P1 (No. 1)
Asymmetric unit:
Be 0.000 0.000 0.000
Be 0.467 0.538 0.530
Ni 0.604 0.103 0.340
Ni 0.887 0.595 0.778
S 0.021 0.167 0.597
S 0.513 0.729 0.125

10.
DFT (PBE) results for BeNiS after structural relaxation.

Calculated values
* E_form (uncorrected): 0.118 eV/atom
* total energy: -4.43 eV per atom

Cell lengths 3.7240, 3.7240, 5.9611 Å; angles 90.00, 90.00, 120.00 degrees
Space group P6_3/mmc (No. 194)
Asymmetric unit:
Be 0.0000 0.0000 0.0000
Ni 0.3333 0.6667 0.2500
S 0.3333 0.6667 0.7500

11.
DFT (PBE) results for BeNiS2 after structural relaxation.

Calculated values
* E_form (uncorrected): -0.580 eV/atom
* total energy: -5.02 eV per atom

Cell lengths 4.974, 4.974, 9.899 Å; angles 90.00, 90.00, 90.00 degrees
Space group I-42d (No. 122)
Asymmetric unit:
Be 0.000 0.000 0.000
Ni 0.000 0.000 0.500
S 0.234 0.250 0.125

12.
DFT (PBE) results for BeNiS after structural relaxation.

Calculated values
* E_form (uncorrected): -0.250 eV/atom
* total energy: -4.79 eV per atom

Cell lengths 5.866, 3.865, 6.421 Å; angles 90.00, 90.00, 90.00 degrees
Space group Pnma (No. 62)
Asymmetric unit:
Be 0.104 0.250 0.131
Ni 0.218 0.250 0.776
S 0.245 0.750 0.933

13.
DFT (PBE) results for BeNiS after structural relaxation.

Calculated values
* E_form (uncorrected): -0.342 eV/atom
* total energy: -4.89 eV per atom

Cell lengths 3.289, 3.963, 7.042 Å; angles 77.49, 89.89, 65.52 degrees
Space group P-1 (No. 2)
Asymmetric unit:
Be 0.157 0.185 0.060
Ni 0.483 0.532 0.177
S 0.203 0.098 0.741

14.
DFT (PBE) results for BeNiS after structural relaxation.

Calculated values
* E_form (uncorrected): -0.460 eV/atom
* total energy: -5.00 eV per atom

Cell lengths 3.330, 3.562, 7.499 Å; angles 89.93, 83.37, 90.00 degrees
Space group P-1 (No. 2)
Asymmetric unit:
Be 0.031 0.250 0.381
Ni 0.472 0.250 0.610
S 0.426 0.750 0.787

15.
DFT (PBE) results for BeNiS after structural relaxation.

Calculated values
* E_form (uncorrected): -0.298 eV/atom
* total energy: -4.84 eV per atom

Cell lengths 3.645, 5.537, 3.932 Å; angles 90.00, 101.55, 90.00 degrees
Space group P2_1 (No. 4)
Asymmetric unit:
Be 0.237 0.000 0.408
Ni 0.091 0.805 0.882
S 0.227 0.623 0.387

16.
DFT (PBE) results for BeNiS after structural relaxation.

Calculated values
* E_form (uncorrected): -0.348 eV/atom
* total energy: -4.89 eV per atom

Cell lengths 6.201, 3.580, 7.546 Å; angles 90.00, 105.88, 90.00 degrees
Space group Cm (No. 8)
Asymmetric unit:
Be 0.000 0.000 0.000
Be 0.150 0.000 0.454
Ni 0.027 0.500 0.583
Ni 0.290 0.500 0.374
S 0.191 0.500 0.074
S 0.396 0.500 0.691

17.
DFT (PBE) results for BeNi2S after structural relaxation.

Calculated values
* E_form (uncorrected): -0.049 eV/atom
* total energy: -4.90 eV per atom

Cell lengths 3.543, 3.543, 14.662 Å; angles 90.00, 90.00, 90.00 degrees
Space group I-42d (No. 122)
Asymmetric unit:
Be 0.000 0.000 0.000
Ni 0.243 0.250 0.625
S 0.000 0.000 0.500

18.
DFT (PBE) results for BeNiS after structural relaxation.

Calculated values
* E_form (uncorrected): -0.405 eV/atom
* total energy: -4.95 eV per atom

Cell lengths 3.587, 3.587, 8.117 Å; angles 77.35, 77.55, 60.01 degrees
Space group P1 (No. 1)
Asymmetric unit:
Be 0.000 0.000 0.000
Be 0.418 0.420 0.738
Ni 0.296 0.293 0.118
Ni 0.689 0.691 0.929
S 0.599 0.595 0.213
S 0.779 0.782 0.652

19.
DFT (PBE) results for BeNiS after structural relaxation.

Calculated values
* E_form (uncorrected): -0.347 eV/atom
* total energy: -4.89 eV per atom

Cell lengths 3.476, 4.069, 5.802 Å; angles 72.45, 87.12, 87.35 degrees
Space group P1 (No. 1)
Asymmetric unit:
Be 0.000 0.000 0.000
Be 0.481 0.451 0.554
Ni 0.026 0.116 0.460
Ni 0.515 0.867 0.776
S 0.489 0.304 0.940
S 0.976 0.664 0.360

20.
DFT (PBE) results for BeNiS after structural relaxation.

Calculated values
* E_form (uncorrected): 0.281 eV/atom
* total energy: -4.26 eV per atom

Cell lengths 4.314, 4.314, 4.343 Å; angles 90.00, 90.00, 90.00 degrees
Space group P4/nmm (No. 129, origin choice 2)
Asymmetric unit:
Be 0.250 0.250 0.164
Ni 0.250 0.250 0.670
S 0.250 0.750 0.500

21.
DFT (PBE) results for BeNiS after structural relaxation.

Calculated values
* E_form (uncorrected): -0.339 eV/atom
* total energy: -4.88 eV per atom

Cell lengths 3.484, 3.850, 7.302 Å; angles 100.09, 90.23, 116.71 degrees
Space group P1 (No. 1)
Asymmetric unit:
Be 0.000 0.000 0.000
Be 0.416 0.835 0.216
Ni 0.109 0.219 0.314
Ni 0.730 0.464 0.107
S 0.244 0.499 0.890
S 0.824 0.652 0.417

22.
DFT (PBE) results for BeNiS after structural relaxation.

Calculated values
* E_form (uncorrected): -0.153 eV/atom
* total energy: -4.70 eV per atom

Cell lengths 4.836, 6.404, 4.484 Å; angles 90.00, 90.00, 90.00 degrees
Space group Pnma (No. 62)
Asymmetric unit:
Be 0.165 0.250 0.185
Ni 0.200 0.750 0.185
S 0.000 0.000 0.500

23.
DFT (PBE) results for BeNiS after structural relaxation.

Calculated values
* E_form (uncorrected): -0.312 eV/atom
* total energy: -4.86 eV per atom

Cell lengths 4.713, 3.290, 5.266 Å; angles 90.00, 115.85, 90.00 degrees
Space group Pm (No. 6)
Asymmetric unit:
Be 0.000 0.000 0.000
Be 0.392 0.500 0.641
Ni 0.525 0.000 0.367
Ni 0.897 0.500 0.686
S 0.051 0.000 0.415
S 0.358 0.500 0.036

24.
DFT (PBE) results for BeNiS after structural relaxation.

Calculated values
* E_form (uncorrected): -0.461 eV/atom
* total energy: -5.01 eV per atom

Cell lengths 3.336, 3.557, 7.443 Å; angles 89.65, 77.59, 89.99 degrees
Space group P-1 (No. 2)
Asymmetric unit:
Be 0.059 0.252 0.377
Ni 0.446 0.248 0.611
S 0.360 0.746 0.794

25.
DFT (PBE) results for BeNiS after structural relaxation.

Calculated values
* E_form (uncorrected): -0.314 eV/atom
* total energy: -4.86 eV per atom

Cell lengths 6.495, 3.496, 6.647 Å; angles 90.00, 98.94, 90.00 degrees
Space group Cm (No. 8)
Asymmetric unit:
Be 0.000 0.000 0.000
Be 0.244 0.000 0.434
Ni 0.090 0.500 0.557
Ni 0.397 0.500 0.321
S 0.329 0.000 0.085
S 0.427 0.500 0.676

26.
DFT (PBE) results for BeNiS after structural relaxation.

Calculated values
* E_form (uncorrected): -0.351 eV/atom
* total energy: -4.90 eV per atom

Cell lengths 3.458, 4.035, 7.129 Å; angles 80.30, 76.34, 64.68 degrees
Space group P1 (No. 1)
Asymmetric unit:
Be 0.000 0.000 0.000
Be 0.312 0.276 0.101
Ni 0.490 0.230 0.780
Ni 0.707 0.631 0.954
S 0.226 0.824 0.712
S 0.720 0.316 0.250